A relaxed CeSmTlIn crystal, computed with GGA-PBE.

Calculated values
Its crystal system is tetragonal. For the total magnetic moment, the calculation gives 1.44 μB per formula unit. The offset from the most stable computed form comes out at 0 meV per atom. The calculated formation energy is -0.35 eV per atom. For the uncorrected energy, the calculation gives -34.32 eV/cell. The density of states at the Fermi level is 2.142 states/eV/atom.

```
data_CeSmTlIn
_chemical_formula_sum 'Ce2 Sm2 Tl2 In2'
_cell_length_a 5.0373
_cell_length_b 5.0373
_cell_length_c 8.9714
_cell_angle_alpha 90.00
_cell_angle_beta 90.00
_cell_angle_gamma 90.00
_space_group_name_H-M_alt 'I -4 m 2'
_space_group_IT_number 119
_space_group_name_Hall 'I -4 -2'
loop_
_atom_site_label
_atom_site_type_symbol
_atom_site_fract_x
_atom_site_fract_y
_atom_site_fract_z
_atom_site_occupancy
Ce1 Ce 0.0000 0.0000 0.0000 1
Sm1 Sm 0.0000 0.0000 0.5000 1
Tl1 Tl 0.0000 0.5000 0.7500 1
In1 In 0.0000 0.5000 0.2500 1
```